1.
Material: BeAsSe2
Method: DFT, PBE-GGA
State: optimized geometry

Calculated values
Its formation energy from raw total energies is 0.518 eV/atom. The calculated total energy comes out at -13.27 eV per cell. The volume comes out at 17.78 A^3/atom. The calculation puts the distance to the lowest polymorph of the same formula at 2.53 eV per formula unit.

Unit cell a=4.641 b=4.641 c=3.302 alpha=90.00 beta=90.00 gamma=90.00
Space group P4/mmm (No. 123)
Inequivalent atoms, fractional coordinates:
Be 0.000 0.000 0.000
As 0.500 0.500 0.000
Se 0.000 0.500 0.500

2.
Material: Zn2AsSe
Method: DFT, PBE-GGA
State: optimized geometry

Calculated values
Its formation energy from raw total energies is -0.003 eV/atom. The calculated total energy comes out at -10.69 eV per cell. The volume comes out at 18.65 A^3/atom.

Unit cell a=2.866 b=3.650 c=7.128 alpha=90.00 beta=90.00 gamma=90.00
Space group Pmmm (No. 47)
Inequivalent atoms, fractional coordinates:
Zn 0.000 0.000 0.226
As 0.500 0.500 0.000
Se 0.000 0.500 0.500

3.
Material: CaAs2SeO
Method: DFT, PBE-GGA
State: optimized geometry

Calculated values
Its formation energy from raw total energies is 1.186 eV/atom. The calculated total energy comes out at -13.81 eV per cell. The volume comes out at 31.14 A^3/atom. The calculation puts the distance to the lowest polymorph of the same formula at 7.82 eV per formula unit.

Unit cell a=5.462 b=5.462 c=5.219 alpha=90.00 beta=90.00 gamma=90.00
Space group P4/mmm (No. 123)
Inequivalent atoms, fractional coordinates:
Ca 0.000 0.000 0.000
As 0.000 0.500 0.000
Se 0.000 0.000 0.500
O 0.500 0.500 0.500

4.
Material: GaReSiSn2
Method: DFT, PBE-GGA
State: optimized geometry

Calculated values
Its formation energy from raw total energies is 0.998 eV/atom. The calculated total energy comes out at -23.91 eV per cell. The volume comes out at 25.20 A^3/atom.

Unit cell a=5.247 b=5.247 c=4.578 alpha=90.00 beta=90.00 gamma=90.00
Space group P4/mmm (No. 123)
Inequivalent atoms, fractional coordinates:
Ga 0.000 0.000 0.000
Re 0.500 0.500 0.000
Si 0.500 0.500 0.500
Sn 0.000 0.500 0.500

5.
Material: ReWSe2
Method: DFT, PBE-GGA
State: optimized geometry

Calculated values
Its formation energy from raw total energies is 0.135 eV/atom. The calculated total energy comes out at -31.83 eV per cell. The volume comes out at 22.84 A^3/atom. The calculation puts the distance to the lowest polymorph of the same formula at 0.51 eV per formula unit.

Unit cell a=3.482 b=4.159 c=6.307 alpha=90.00 beta=90.37 gamma=90.00
Space group Pm (No. 6)
Inequivalent atoms, fractional coordinates:
Re 0.000 0.000 0.000
W 0.500 0.500 0.026
Se 0.504 0.000 0.284
Se 0.996 0.500 0.739

6.
Material: SmDyCO
Method: DFT, PBE-GGA
State: optimized geometry

Calculated values
Its formation energy from raw total energies is -1.176 eV/atom. The calculated total energy comes out at -56.42 eV per cell. The volume comes out at 16.03 A^3/atom.

Unit cell a=3.190 b=3.317 c=12.122 alpha=90.00 beta=90.00 gamma=90.00
Space group Imm2 (No. 44)
Inequivalent atoms, fractional coordinates:
Sm 0.000 0.000 0.000
Dy 0.000 0.500 0.252
C 0.000 0.500 0.843
O 0.000 0.000 0.592

7.
Material: Li2ZrPb
Method: DFT, PBE-GGA
State: optimized geometry

Calculated values
The calculated total energy comes out at -15.90 eV per cell. The volume comes out at 20.22 A^3/atom. The formation energy is 45 meV/atom.

Unit cell a=3.570 b=3.570 c=6.346 alpha=90.00 beta=90.00 gamma=90.00
Space group P4/mmm (No. 123)
Inequivalent atoms, fractional coordinates:
Li 0.000 0.000 0.240
Zr 0.500 0.500 0.500
Pb 0.500 0.500 0.000

8.
Material: SrLaGa
Method: DFT, PBE-GGA
State: optimized geometry

Calculated values
The calculated total energy comes out at -41.85 eV per cell. The volume comes out at 34.41 A^3/atom. The formation energy is -276 meV/atom. The calculation puts the distance to the lowest polymorph of the same formula at 0.28 eV per formula unit.

Unit cell a=7.844 b=3.821 c=13.774 alpha=90.00 beta=90.00 gamma=90.00
Space group Pnma (No. 62)
Inequivalent atoms, fractional coordinates:
Sr 0.133 0.250 0.110
La 0.118 0.250 0.372
Ga 0.128 0.250 0.758

9.
Material: Er2TlPt9
Method: DFT, PBE-GGA
State: optimized geometry

Calculated values
The calculated total energy comes out at -74.58 eV per cell. The volume comes out at 17.24 A^3/atom. The formation energy is -727 meV/atom.

Unit cell a=4.099 b=4.099 c=12.318 alpha=90.00 beta=90.00 gamma=90.00
Space group P4/mmm (No. 123)
Inequivalent atoms, fractional coordinates:
Er 0.000 0.000 0.166
Tl 0.000 0.000 0.500
Pt 0.000 0.500 0.000
Pt 0.000 0.500 0.331
Pt 0.500 0.500 0.167
Pt 0.500 0.500 0.500

10.
Material: Sc4Sn2H
Method: DFT, PBE-GGA
State: optimized geometry

Calculated values
The calculated total energy comes out at -81.78 eV per cell. The volume comes out at 20.40 A^3/atom. The calculation puts the distance to the lowest polymorph of the same formula at 0.00 eV per formula unit.

Unit cell a=5.841 b=6.059 c=8.579 alpha=90.00 beta=109.82 gamma=90.00
Space group P2_1/m (No. 11)
Inequivalent atoms, fractional coordinates:
Sc 0.042 0.000 0.303
Sc 0.366 0.250 0.049
Sc 0.431 0.250 0.658
Sn 0.180 0.750 0.026
Sn 0.356 0.750 0.603
H 0.203 0.250 0.792

11.
Material: Lu2TlPt
Method: DFT, PBE-GGA
State: optimized geometry

Calculated values
The calculated total energy comes out at -20.72 eV per cell. The volume comes out at 23.11 A^3/atom. The formation energy is -818 meV/atom. The calculation puts the distance to the lowest polymorph of the same formula at 0.00 eV per formula unit.

Unit cell a=3.525 b=3.525 c=7.440 alpha=90.00 beta=90.00 gamma=90.00
Space group P4/mmm (No. 123)
Inequivalent atoms, fractional coordinates:
Lu 0.000 0.000 0.217
Tl 0.500 0.500 0.500
Pt 0.500 0.500 0.000

12.
Material: DyHo15Sc4
Method: DFT, PBE-GGA
State: optimized geometry

Calculated values
The calculated total energy comes out at -97.85 eV per cell. The volume comes out at 29.59 A^3/atom. The formation energy is 37 meV/atom.

Unit cell a=4.914 b=4.914 c=24.506 alpha=90.00 beta=90.00 gamma=90.00
Space group P4/mmm (No. 123)
Inequivalent atoms, fractional coordinates:
Dy 0.000 0.000 0.000
Ho 0.000 0.500 0.103
Ho 0.000 0.500 0.301
Ho 0.000 0.500 0.500
Ho 0.500 0.500 0.000
Ho 0.500 0.500 0.203
Ho 0.500 0.500 0.401
Sc 0.000 0.000 0.202
Sc 0.000 0.000 0.401